# PrEr4Ir4 | Alexandria | PBE | optimized geometry
data_PrEr4Ir4
_chemical_formula_sum 'Pr2 Er8 Ir8'
_cell_length_a 5.6087
_cell_length_b 8.9605
_cell_length_c 8.9605
_cell_angle_alpha 90.00
_cell_angle_beta 90.00
_cell_angle_gamma 90.00
_symmetry_space_group_name_H-M 'P 1'
_symmetry_Int_Tables_number 1
loop_
_symmetry_equiv_pos_as_xyz
'x,y,z'
loop_
_atom_site_label
_atom_site_type_symbol
_atom_site_fract_x
_atom_site_fract_y
_atom_site_fract_z
_atom_site_occupancy
Ir1 Ir 0.1030 0.1368 0.2881 1
Ir2 Ir 0.6030 0.7881 0.3632 1
Ir3 Ir 0.8970 0.7119 0.1368 1
Ir4 Ir 0.6030 0.2119 0.6368 1
Ir5 Ir 0.8970 0.2881 0.8632 1
Ir6 Ir 0.3970 0.3632 0.2119 1
Ir7 Ir 0.3970 0.6368 0.7881 1
Ir8 Ir 0.1030 0.8632 0.7119 1
Er1 Er 0.6050 0.0967 0.3362 1
Er2 Er 0.3950 0.3362 0.9033 1
Er3 Er 0.1050 0.8362 0.4033 1
Er4 Er 0.8950 0.5967 0.8362 1
Er5 Er 0.8950 0.4033 0.1638 1
Er6 Er 0.6050 0.9033 0.6638 1
Er7 Er 0.1050 0.1638 0.5967 1
Er8 Er 0.3950 0.6638 0.0967 1
Pr1 Pr 0.5000 0.5000 0.5000 1
Pr2 Pr 0.0000 0.0000 0.0000 1
# - energy (eV/atom) = -7.14
# - DOS(E_F) (states/eV/cell) = 11.017

# Li2YZr | Alexandria | PBE | optimized geometry
data_Li2YZr
_chemical_formula_sum 'Li2 Y1 Zr1'
_cell_length_a 3.3801
_cell_length_b 3.3801
_cell_length_c 8.1588
_cell_angle_alpha 90.00
_cell_angle_beta 90.00
_cell_angle_gamma 90.00
_symmetry_space_group_name_H-M 'P 1'
_symmetry_Int_Tables_number 1
loop_
_symmetry_equiv_pos_as_xyz
'x,y,z'
loop_
_atom_site_label
_atom_site_type_symbol
_atom_site_fract_x
_atom_site_fract_y
_atom_site_fract_z
_atom_site_occupancy
Y1 Y 0.0000 0.0000 0.5047 1
Li1 Li 0.5000 0.5000 0.2045 1
Li2 Li 0.0000 0.0000 0.0181 1
Zr1 Zr 0.5000 0.5000 0.7727 1
# - energy (eV/atom) = -4.57
# - energy above the most stable polymorph in this dataset (kJ per mole of atoms) = 0.0
# - DOS(E_F) (states/eV/cell) = 5.225

# YTmAl2 | Alexandria | PBE | optimized geometry
data_YTmAl2
_chemical_formula_sum 'Y1 Tm1 Al2'
_cell_length_a 3.5809
_cell_length_b 3.5809
_cell_length_c 7.1290
_cell_angle_alpha 90.00
_cell_angle_beta 90.00
_cell_angle_gamma 90.00
_symmetry_space_group_name_H-M 'P 1'
_symmetry_Int_Tables_number 1
loop_
_symmetry_equiv_pos_as_xyz
'x,y,z'
loop_
_atom_site_label
_atom_site_type_symbol
_atom_site_fract_x
_atom_site_fract_y
_atom_site_fract_z
_atom_site_occupancy
Tm1 Tm 0.5000 0.5000 0.0000 1
Y1 Y 0.5000 0.5000 0.5000 1
Al1 Al 0.0000 0.0000 0.7562 1
Al2 Al 0.0000 0.0000 0.2438 1
# - energy (eV/atom) = -5.01
# - energy above the most stable polymorph in this dataset (kJ per mole of atoms) = 0.0
# - DOS(E_F) (states/eV/cell) = 1.711

# TlTc2Rh | Alexandria | PBE | optimized geometry
data_TlTc2Rh
_chemical_formula_sum 'Tl1 Tc2 Rh1'
_cell_length_a 4.5246
_cell_length_b 4.5246
_cell_length_c 4.5246
_cell_angle_alpha 60.00
_cell_angle_beta 60.00
_cell_angle_gamma 60.00
_symmetry_space_group_name_H-M 'P 1'
_symmetry_Int_Tables_number 1
loop_
_symmetry_equiv_pos_as_xyz
'x,y,z'
loop_
_atom_site_label
_atom_site_type_symbol
_atom_site_fract_x
_atom_site_fract_y
_atom_site_fract_z
_atom_site_occupancy
Rh1 Rh 0.0000 0.0000 0.0000 1
Tl1 Tl 0.5000 0.5000 0.5000 1
Tc1 Tc 0.7500 0.7500 0.7500 1
Tc2 Tc 0.2500 0.2500 0.2500 1
# - energy (eV/atom) = -6.93
# - energy above the most stable polymorph in this dataset (kJ per mole of atoms) = 42.0
# - DOS(E_F) (states/eV/cell) = 5.302

Q: Which of these has the lowest DOS(E_F)?
A: YTmAl2

Repeat the second record exactly.
# Li2YZr | Alexandria | PBE | optimized geometry
data_Li2YZr
_chemical_formula_sum 'Li2 Y1 Zr1'
_cell_length_a 3.3801
_cell_length_b 3.3801
_cell_length_c 8.1588
_cell_angle_alpha 90.00
_cell_angle_beta 90.00
_cell_angle_gamma 90.00
_symmetry_space_group_name_H-M 'P 1'
_symmetry_Int_Tables_number 1
loop_
_symmetry_equiv_pos_as_xyz
'x,y,z'
loop_
_atom_site_label
_atom_site_type_symbol
_atom_site_fract_x
_atom_site_fract_y
_atom_site_fract_z
_atom_site_occupancy
Y1 Y 0.0000 0.0000 0.5047 1
Li1 Li 0.5000 0.5000 0.2045 1
Li2 Li 0.0000 0.0000 0.0181 1
Zr1 Zr 0.5000 0.5000 0.7727 1
# - energy (eV/atom) = -4.57
# - energy above the most stable polymorph in this dataset (kJ per mole of atoms) = 0.0
# - DOS(E_F) (states/eV/cell) = 5.225